Entry 1:
HoRh3Pb: relaxed, GGA-PBE.

Formation energy in eV per atom: -0.3254

Structure (CIF):
```
data_HoRh3Pb
_chemical_formula_sum 'Ho4 Rh12 Pb4'
_symmetry_space_group_name_H-M 'I m m a'
_symmetry_Int_Tables_number 74
_symmetry_space_group_name_Hall '-I 2b 2'
_cell_length_a 5.601
_cell_length_b 7.559
_cell_length_c 9.143
_cell_angle_alpha 90.00
_cell_angle_beta 90.00
_cell_angle_gamma 90.00
loop_
_atom_site_label
_atom_site_type_symbol
_atom_site_fract_x
_atom_site_fract_y
_atom_site_fract_z
Ho1 Ho 0.000 0.250 0.021
Rh1 Rh 0.000 0.250 0.723
Rh2 Rh 0.250 0.057 0.250
Pb1 Pb 0.000 0.000 0.500
```

Entry 2:
Sm6C3Se: relaxed, GGA-PBE.

Energy relative to the elements, uncorrected in kJ/mol of formula units: -391

Structure (CIF):
```
data_Sm6C3Se
_chemical_formula_sum 'Sm12 C6 Se2'
_symmetry_space_group_name_H-M 'P 1 21/m 1'
_symmetry_Int_Tables_number 11
_cell_length_a 10.778
_cell_length_b 3.794
_cell_length_c 11.266
_cell_angle_alpha 90.00
_cell_angle_beta 106.97
_cell_angle_gamma 90.00
loop_
_symmetry_equiv_pos_as_xyz
'x,y,z'
'-x,-y,-z'
'-x,y+1/2,-z'
'x,-y+1/2,z'
loop_
_atom_site_label
_atom_site_type_symbol
_atom_site_fract_x
_atom_site_fract_y
_atom_site_fract_z
Sm1 Sm 0.020 0.250 0.382
Sm2 Sm 0.109 0.250 0.942
Sm3 Sm 0.209 0.750 0.254
Sm4 Sm 0.292 0.750 0.770
Sm5 Sm 0.346 0.250 0.529
Sm6 Sm 0.425 0.750 0.085
C1 C 0.040 0.250 0.165
C2 C 0.181 0.750 0.465
C3 C 0.345 0.250 0.923
Se1 Se 0.451 0.250 0.308
```

Entry 3:
Tm5Sn2Pb: relaxed, GGA-PBE.

Formation energy in eV per atom: -0.2501

Structure (CIF):
```
data_Tm5Sn2Pb
_chemical_formula_sum 'Tm20 Sn8 Pb4'
_symmetry_space_group_name_H-M 'C m c m'
_symmetry_Int_Tables_number 63
_symmetry_space_group_name_Hall '-C 2c 2'
_cell_length_a 5.234
_cell_length_b 11.349
_cell_length_c 15.581
_cell_angle_alpha 90.00
_cell_angle_beta 90.00
_cell_angle_gamma 90.00
loop_
_atom_site_label
_atom_site_type_symbol
_atom_site_fract_x
_atom_site_fract_y
_atom_site_fract_z
Tm1 Tm 0.000 0.050 0.250
Tm2 Tm 0.000 0.121 0.554
Tm3 Tm 0.000 0.424 0.591
Sn1 Sn 0.000 0.273 0.116
Pb1 Pb 0.000 0.234 0.750
```

Entry 4:
Na2MnAgCl6: relaxed, GGA-PBE.

Energy relative to the elements, uncorrected in kJ/mol of formula units: -1150

Structure (CIF):
```
data_Na2MnAgCl6
_chemical_formula_sum 'Na2 Mn1 Ag1 Cl6'
_symmetry_space_group_name_H-M 'P 1'
_symmetry_Int_Tables_number 1
_cell_length_a 6.673
_cell_length_b 6.905
_cell_length_c 7.034
_cell_angle_alpha 63.73
_cell_angle_beta 64.00
_cell_angle_gamma 61.80
loop_
_symmetry_equiv_pos_as_xyz
'x,y,z'
loop_
_atom_site_label
_atom_site_type_symbol
_atom_site_fract_x
_atom_site_fract_y
_atom_site_fract_z
Na1 Na 0.000 0.000 0.000
Na2 Na 0.476 0.474 0.533
Mn1 Mn 0.689 0.674 0.930
Ag1 Ag 0.210 0.182 0.398
Cl1 Cl 0.020 0.781 0.717
Cl2 Cl 0.347 0.579 0.149
Cl3 Cl 0.422 0.053 0.678
Cl4 Cl 0.590 0.884 0.162
Cl5 Cl 0.791 0.453 0.713
Cl6 Cl 0.912 0.303 0.206
```

Entry 5:
Sr2BCl: relaxed, GGA-PBE.

Energy relative to the elements, uncorrected in kJ/mol of formula units: -88
Energy relative to the lowest polymorph listed for this composition in kcal/mol of atoms: 1.89

Structure (CIF):
```
data_Sr2BCl
_chemical_formula_sum 'Sr8 B4 Cl4'
_symmetry_space_group_name_H-M 'F m -3 m'
_symmetry_Int_Tables_number 225
_symmetry_space_group_name_Hall '-F 4 2 3'
_cell_length_a 7.391
_cell_length_b 7.391
_cell_length_c 7.391
_cell_angle_alpha 90.00
_cell_angle_beta 90.00
_cell_angle_gamma 90.00
loop_
_atom_site_label
_atom_site_type_symbol
_atom_site_fract_x
_atom_site_fract_y
_atom_site_fract_z
Sr1 Sr 0.250 0.250 0.250
B1 B 0.000 0.000 0.000
Cl1 Cl 0.000 0.000 0.500
```

Entry 6:
Ni5Pt3Rh: relaxed, GGA-PBE.

Formation energy in eV per atom: 0.3758

Structure (CIF):
```
data_Ni5Pt3Rh
_chemical_formula_sum 'Ni20 Pt12 Rh4'
_symmetry_space_group_name_H-M 'I 4/m c m'
_symmetry_Int_Tables_number 140
_symmetry_space_group_name_Hall '-I 4 2c'
_cell_length_a 6.345
_cell_length_b 6.345
_cell_length_c 12.937
_cell_angle_alpha 90.00
_cell_angle_beta 90.00
_cell_angle_gamma 90.00
loop_
_atom_site_label
_atom_site_type_symbol
_atom_site_fract_x
_atom_site_fract_y
_atom_site_fract_z
Ni1 Ni 0.000 0.000 0.000
Ni2 Ni 0.223 0.277 0.154
Pt1 Pt 0.000 0.000 0.250
Pt2 Pt 0.135 0.365 0.500
Rh1 Rh 0.000 0.500 0.250
```

Entry 7:
Y3ScGa: relaxed, GGA-PBE.

Formation energy in eV per atom: 0.7082
Energy relative to the lowest polymorph listed for this composition in kcal/mol of atoms: 12.21

Structure (CIF):
```
data_Y3ScGa
_chemical_formula_sum 'Y3 Sc1 Ga1'
_symmetry_space_group_name_H-M 'P m -3 m'
_symmetry_Int_Tables_number 221
_symmetry_space_group_name_Hall '-P 4 2 3'
_cell_length_a 5.435
_cell_length_b 5.435
_cell_length_c 5.435
_cell_angle_alpha 90.00
_cell_angle_beta 90.00
_cell_angle_gamma 90.00
loop_
_atom_site_label
_atom_site_type_symbol
_atom_site_fract_x
_atom_site_fract_y
_atom_site_fract_z
Y1 Y 0.000 0.000 0.500
Sc1 Sc 0.000 0.000 0.000
Ga1 Ga 0.500 0.500 0.500
```

Entry 8:
PHIrS2: relaxed, GGA-PBE.

Energy relative to the lowest polymorph listed for this composition in kcal/mol of atoms: 4.90

Structure (CIF):
```
data_PHIrS2
_chemical_formula_sum 'P1 H1 Ir1 S2'
_symmetry_space_group_name_H-M 'P 4/m m m'
_symmetry_Int_Tables_number 123
_symmetry_space_group_name_Hall '-P 4 2'
_cell_length_a 4.853
_cell_length_b 4.853
_cell_length_c 4.462
_cell_angle_alpha 90.00
_cell_angle_beta 90.00
_cell_angle_gamma 90.00
loop_
_atom_site_label
_atom_site_type_symbol
_atom_site_fract_x
_atom_site_fract_y
_atom_site_fract_z
P1 P 0.000 0.000 0.000
H1 H 0.500 0.500 0.000
Ir1 Ir 0.000 0.000 0.500
S1 S 0.000 0.500 0.500
```

| no. | magnetic moment (μB per cell) |
| --- | --- |
| 1 | 0.0 |
| 2 | 1.6 |
| 3 | 0.0 |
| 4 | 4.0 |
| 5 | 8.0 |
| 6 | 16.9 |
| 7 | 0.0 |
| 8 | 1.2 |